## Tb4TlBiH (PBE)

Data for crystalline Tb4TlBiH at its relaxed geometry.

a = 9.125 Å, b = 9.125 Å, c = 6.500 Å
α = 90.00°, β = 90.00°, γ = 138.47°
Positions (direct):
Tb 0.000 0.500 0.000
Tb 0.000 0.500 0.500
Tb 0.070 0.930 0.750
Tb 0.424 0.576 0.750
Tb 0.500 0.000 0.000
Tb 0.500 0.000 0.500
Tb 0.576 0.424 0.250
Tb 0.930 0.070 0.250
Tl 0.113 0.887 0.250
Tl 0.887 0.113 0.750
Bi 0.390 0.610 0.250
Bi 0.610 0.390 0.750
H 0.290 0.710 0.750
H 0.710 0.290 0.250

The total DFT energy (no corrections) comes out at -4.519 eV per atom. The value obtained for the density of states at the Fermi level is 0.910 states/eV/atom. The space-group type is Cmcm.

---

## RbAg7S4 (PBE)

Data for crystalline RbAg7S4 at its relaxed geometry.

a = 11.149 Å, b = 11.149 Å, c = 8.514 Å
α = 90.00°, β = 90.00°, γ = 90.00°
Positions (direct):
Rb 0.250 0.250 0.120
Rb 0.250 0.250 0.621
Rb 0.750 0.750 0.379
Rb 0.750 0.750 0.880
Ag 0.000 0.000 0.500
Ag 0.000 0.500 0.500
Ag 0.021 0.963 0.162
Ag 0.037 0.521 0.838
Ag 0.108 0.791 0.885
Ag 0.113 0.770 0.379
Ag 0.209 0.608 0.115
Ag 0.230 0.613 0.621
Ag 0.270 0.887 0.621
Ag 0.291 0.892 0.115
Ag 0.387 0.730 0.379
Ag 0.392 0.709 0.885
Ag 0.463 0.979 0.838
Ag 0.479 0.537 0.162
Ag 0.500 0.000 0.500
Ag 0.500 0.500 0.500
Ag 0.521 0.463 0.838
Ag 0.537 0.021 0.162
Ag 0.608 0.291 0.115
Ag 0.613 0.270 0.621
Ag 0.709 0.108 0.885
Ag 0.730 0.113 0.379
Ag 0.770 0.387 0.379
Ag 0.791 0.392 0.885
Ag 0.887 0.230 0.621
Ag 0.892 0.209 0.115
Ag 0.963 0.479 0.162
Ag 0.979 0.037 0.838
S 0.001 0.698 0.127
S 0.005 0.693 0.635
S 0.193 0.995 0.365
S 0.198 0.999 0.873
S 0.302 0.501 0.873
S 0.307 0.505 0.365
S 0.495 0.807 0.635
S 0.499 0.802 0.127
S 0.501 0.198 0.873
S 0.505 0.193 0.365
S 0.693 0.495 0.635
S 0.698 0.499 0.127
S 0.802 0.001 0.127
S 0.807 0.005 0.635
S 0.995 0.307 0.365
S 0.999 0.302 0.873

The total DFT energy (no corrections) comes out at -3.327 eV per atom. The value obtained for the density of states at the Fermi level is 0.019 states/eV/atom. The space-group type is P4/n.

---

## LaMg2In (PBE)

Data for crystalline LaMg2In at its relaxed geometry.

a = 5.461 Å, b = 5.461 Å, c = 6.451 Å
α = 99.25°, β = 99.25°, γ = 35.58°
Positions (direct):
La 0.000 0.000 0.000
Mg 0.236 0.236 0.698
Mg 0.491 0.491 0.499
In 0.755 0.755 0.272

The total DFT energy (no corrections) comes out at -2.837 eV per atom. The value obtained for the density of states at the Fermi level is 0.663 states/eV/atom. The space-group type is Cm. As for the formation energy: -123 meV per atom.

---

## Li5Ti3S8 (PBE)

Data for crystalline Li5Ti3S8 at its relaxed geometry.

a = 7.271 Å, b = 7.271 Å, c = 7.271 Å
α = 57.99°, β = 57.99°, γ = 57.99°
Positions (direct):
Li 0.000 0.000 0.000
Li 0.000 0.500 0.500
Li 0.500 0.000 0.500
Li 0.500 0.500 0.000
Li 0.500 0.500 0.500
Ti 0.000 0.000 0.500
Ti 0.000 0.500 0.000
Ti 0.500 0.000 0.000
S 0.235 0.749 0.749
S 0.245 0.245 0.245
S 0.251 0.251 0.765
S 0.251 0.765 0.251
S 0.749 0.235 0.749
S 0.749 0.749 0.235
S 0.755 0.755 0.755
S 0.765 0.251 0.251

The total DFT energy (no corrections) comes out at -5.492 eV per atom. The value obtained for the density of states at the Fermi level is 0.252 states/eV/atom. The space-group type is R-3m.

---

## TaRhSe2 (PBE)

Data for crystalline TaRhSe2 at its relaxed geometry.

a = 8.934 Å, b = 8.934 Å, c = 8.934 Å
α = 20.99°, β = 20.99°, γ = 20.99°
Positions (direct):
Ta 0.000 0.000 0.000
Rh 0.246 0.246 0.246
Se 0.521 0.521 0.521
Se 0.733 0.733 0.733

The total DFT energy (no corrections) comes out at -6.807 eV per atom. The value obtained for the density of states at the Fermi level is 0.746 states/eV/atom. Its offset from the most stable computed form is 0.237 eV/atom. The space-group type is R3m.

---

## Ac5Pr5Tm2 (PBE)

Data for crystalline Ac5Pr5Tm2 at its relaxed geometry.

a = 8.555 Å, b = 8.555 Å, c = 12.064 Å
α = 115.49°, β = 115.49°, γ = 36.06°
Positions (direct):
Ac 0.000 0.000 0.000
Ac 0.083 0.083 0.753
Ac 0.166 0.166 0.501
Ac 0.834 0.834 0.499
Ac 0.917 0.917 0.247
Pr 0.245 0.245 0.244
Pr 0.333 0.333 0.998
Pr 0.500 0.500 0.500
Pr 0.667 0.667 0.002
Pr 0.755 0.755 0.756
Tm 0.416 0.416 0.752
Tm 0.584 0.584 0.248

The total DFT energy (no corrections) comes out at -4.406 eV per atom. The value obtained for the density of states at the Fermi level is 1.661 states/eV/atom. The space-group type is C2/m. As for the formation energy: 42 meV per atom.

---

## Hf4InRh2 (PBE)

Data for crystalline Hf4InRh2 at its relaxed geometry.

a = 9.720 Å, b = 9.720 Å, c = 9.720 Å
α = 26.04°, β = 26.04°, γ = 26.04°
Positions (direct):
Hf 0.106 0.106 0.106
Hf 0.300 0.300 0.300
Hf 0.700 0.700 0.700
Hf 0.894 0.894 0.894
In 0.500 0.500 0.500
Rh 0.398 0.398 0.398
Rh 0.602 0.602 0.602

The total DFT energy (no corrections) comes out at -8.462 eV per atom. The value obtained for the density of states at the Fermi level is 1.047 states/eV/atom. The space-group type is R-3m. As for the formation energy: -283 meV per atom.

---

## Al2SnW (PBE)

Data for crystalline Al2SnW at its relaxed geometry.

a = 6.097 Å, b = 6.097 Å, c = 6.097 Å
α = 101.58°, β = 101.58°, γ = 126.76°
Positions (direct):
Al 0.089 0.125 0.464
Al 0.375 0.911 0.036
Al 0.661 0.625 0.536
Al 0.875 0.339 0.964
Sn 0.250 0.750 0.500
Sn 0.500 0.500 0.000
W 0.000 0.000 0.000
W 0.750 0.250 0.500

The total DFT energy (no corrections) comes out at -5.408 eV per atom. The value obtained for the density of states at the Fermi level is 1.001 states/eV/atom. The space-group type is I-42d. As for the formation energy: 702 meV per atom.

---

## HfMo2CI (PBE)

Data for crystalline HfMo2CI at its relaxed geometry.

a = 4.998 Å, b = 4.998 Å, c = 4.073 Å
α = 90.00°, β = 90.00°, γ = 90.00°
Positions (direct):
Hf 0.000 0.000 0.000
Mo 0.000 0.500 0.500
Mo 0.500 0.000 0.500
C 0.500 0.500 0.000
I 0.500 0.500 0.500

The total DFT energy (no corrections) comes out at -6.147 eV per atom. The value obtained for the density of states at the Fermi level is 0.692 states/eV/atom. The space-group type is P4/mmm.

---

## LiCuF2 (PBE)

Data for crystalline LiCuF2 at its relaxed geometry.

a = 5.973 Å, b = 5.973 Å, c = 5.973 Å
α = 33.07°, β = 33.07°, γ = 33.07°
Positions (direct):
Li 0.000 0.000 0.000
Cu 0.500 0.500 0.500
F 0.102 0.102 0.102
F 0.898 0.898 0.898

The total DFT energy (no corrections) comes out at -4.038 eV per atom. The value obtained for the density of states at the Fermi level is 0.776 states/eV/atom. The space-group type is R-3m.

---

## TlSi4 (PBE)

Data for crystalline TlSi4 at its relaxed geometry.

a = 5.138 Å, b = 5.138 Å, c = 5.138 Å
α = 90.00°, β = 90.00°, γ = 90.00°
Positions (direct):
Tl 0.000 0.000 0.000
Si 0.000 0.000 0.500
Si 0.000 0.500 0.000
Si 0.500 0.000 0.000
Si 0.500 0.500 0.500

The total DFT energy (no corrections) comes out at -3.071 eV per atom. The value obtained for the density of states at the Fermi level is 0.640 states/eV/atom. Its offset from the most stable computed form is 0.446 eV/atom. The space-group type is Pm-3m.

---

## TaZn2Ag (PBE)

Data for crystalline TaZn2Ag at its relaxed geometry.

a = 4.942 Å, b = 4.942 Å, c = 4.942 Å
α = 132.04°, β = 132.04°, γ = 70.17°
Positions (direct):
Ta 0.000 0.000 0.000
Zn 0.250 0.750 0.500
Zn 0.500 0.500 0.000
Ag 0.750 0.250 0.500

The total DFT energy (no corrections) comes out at -3.998 eV per atom. The value obtained for the density of states at the Fermi level is 0.713 states/eV/atom. Its offset from the most stable computed form is 0.329 eV/atom. The space-group type is I-4m2. As for the formation energy: 315 meV per atom.

---

## Mg8SbPt6 (PBE)

Data for crystalline Mg8SbPt6 at its relaxed geometry.

a = 7.068 Å, b = 7.068 Å, c = 7.068 Å
α = 66.90°, β = 66.90°, γ = 66.90°
Positions (direct):
Mg 0.044 0.383 0.721
Mg 0.166 0.166 0.166
Mg 0.279 0.956 0.617
Mg 0.383 0.721 0.044
Mg 0.617 0.279 0.956
Mg 0.721 0.044 0.383
Mg 0.834 0.834 0.834
Mg 0.956 0.617 0.279
Sb 0.500 0.500 0.500
Pt 0.113 0.784 0.449
Pt 0.216 0.551 0.887
Pt 0.449 0.113 0.784
Pt 0.551 0.887 0.216
Pt 0.784 0.449 0.113
Pt 0.887 0.216 0.551

The total DFT energy (no corrections) comes out at -4.235 eV per atom. The value obtained for the density of states at the Fermi level is 0.454 states/eV/atom. The space-group type is R-3.

---

## LaSi (PBE)

Data for crystalline LaSi at its relaxed geometry.

a = 5.198 Å, b = 5.198 Å, c = 3.754 Å
α = 90.00°, β = 90.00°, γ = 102.17°
Positions (direct):
La 0.224 0.776 0.000
La 0.776 0.224 0.000
Si 0.314 0.314 0.500
Si 0.686 0.686 0.500

The total DFT energy (no corrections) comes out at -5.748 eV per atom. The value obtained for the density of states at the Fermi level is 0.720 states/eV/atom. The space-group type is Cmmm.

---

## LaSm2C3 (PBE)

Data for crystalline LaSm2C3 at its relaxed geometry.

a = 7.263 Å, b = 7.263 Å, c = 7.263 Å
α = 132.14°, β = 84.17°, γ = 115.51°
Positions (direct):
La 0.287 0.037 0.250
La 0.713 0.963 0.750
Sm 0.089 0.666 0.423
Sm 0.256 0.334 0.923
Sm 0.744 0.666 0.077
Sm 0.911 0.334 0.577
C 0.000 0.000 0.500
C 0.000 0.115 0.115
C 0.000 0.500 0.000
C 0.000 0.885 0.885
C 0.500 0.115 0.615
C 0.500 0.885 0.385

The total DFT energy (no corrections) comes out at -7.009 eV per atom. The value obtained for the density of states at the Fermi level is 0.596 states/eV/atom. The space-group type is Imma. As for the formation energy: -3 meV per atom.

---

## LaTa2FeS (PBE)

Data for crystalline LaTa2FeS at its relaxed geometry.

a = 5.065 Å, b = 5.065 Å, c = 4.332 Å
α = 90.00°, β = 90.00°, γ = 90.00°
Positions (direct):
La 0.000 0.000 0.000
Ta 0.000 0.500 0.000
Ta 0.500 0.000 0.000
Fe 0.000 0.000 0.500
S 0.500 0.500 0.500

The total DFT energy (no corrections) comes out at -5.963 eV per atom. The value obtained for the density of states at the Fermi level is 0.998 states/eV/atom. The space-group type is P4/mmm.

---

## CaMgRh2 (PBE)

Data for crystalline CaMgRh2 at its relaxed geometry.

a = 8.568 Å, b = 8.568 Å, c = 8.568 Å
α = 21.05°, β = 21.05°, γ = 21.05°
Positions (direct):
Ca 0.000 0.000 0.000
Mg 0.500 0.500 0.500
Rh 0.245 0.245 0.245
Rh 0.755 0.755 0.755

The total DFT energy (no corrections) comes out at -4.711 eV per atom. The value obtained for the density of states at the Fermi level is 1.060 states/eV/atom. The space-group type is R-3m. As for the formation energy: -136 meV per atom.

---

## MoBr (PBE)

Data for crystalline MoBr at its relaxed geometry.

a = 3.169 Å, b = 14.042 Å, c = 5.785 Å
α = 90.00°, β = 90.00°, γ = 90.00°
Positions (direct):
Mo 0.250 0.067 0.022
Mo 0.250 0.433 0.022
Mo 0.250 0.750 0.311
Mo 0.750 0.250 0.689
Mo 0.750 0.567 0.978
Mo 0.750 0.933 0.978
Br 0.250 0.250 0.017
Br 0.250 0.603 0.606
Br 0.250 0.897 0.606
Br 0.750 0.103 0.394
Br 0.750 0.397 0.394
Br 0.750 0.750 0.983

The total DFT energy (no corrections) comes out at -5.598 eV per atom. The value obtained for the density of states at the Fermi level is 0.784 states/eV/atom. Its offset from the most stable computed form is 0.728 eV/atom. The space-group type is Pmmn.

---

## CaRePtS2 (PBE)

Data for crystalline CaRePtS2 at its relaxed geometry.

a = 4.889 Å, b = 4.889 Å, c = 4.833 Å
α = 90.00°, β = 90.00°, γ = 90.00°
Positions (direct):
Ca 0.000 0.000 0.000
Re 0.500 0.500 0.000
Pt 0.500 0.500 0.500
S 0.000 0.500 0.500
S 0.500 0.000 0.500

The total DFT energy (no corrections) comes out at -5.168 eV per atom. The value obtained for the density of states at the Fermi level is 0.996 states/eV/atom. The space-group type is P4/mmm.

---

## K2PtPb (PBE)

Data for crystalline K2PtPb at its relaxed geometry.

a = 3.787 Å, b = 3.787 Å, c = 9.916 Å
α = 90.00°, β = 90.00°, γ = 90.00°
Positions (direct):
K 0.000 0.000 0.000
K 0.500 0.500 0.408
Pt 0.500 0.500 0.765
Pb 0.000 0.000 0.659

The total DFT energy (no corrections) comes out at -3.100 eV per atom. The value obtained for the density of states at the Fermi level is 0.205 states/eV/atom. The space-group type is P4mm. As for the formation energy: -114 meV per atom.